DFT (PBE with a Hubbard U) results for Na2TmW3O12 after structural relaxation.

Computed properties:
Raw total energy in eV per atom: -7.002
SG: No. 166

Cell and atoms, written as POSCAR:
```
Na2TmW3O12
1.0
3.745 2.162 6.273
-3.745 2.162 6.273
0.000 -4.325 6.273
Na Tm W O
2 1 3 12
Direct
0.197 0.197 0.197
0.803 0.803 0.803
0.500 0.500 0.500
0.000 0.500 0.500
0.500 0.000 0.500
0.500 0.500 0.000
0.146 0.577 0.577
0.200 0.200 0.562
0.200 0.562 0.200
0.423 0.423 0.854
0.423 0.854 0.423
0.438 0.800 0.800
0.562 0.200 0.200
0.577 0.146 0.577
0.577 0.577 0.146
0.800 0.438 0.800
0.800 0.800 0.438
0.854 0.423 0.423
```